The following is a GGA-PBE calculation of a relaxed structure of Tc2W3, from Alexandria.

DFT formation energy: 11.026 kcal/mol of atoms
Total moment: 0.0000 μB/atom
Excess energy over the best structure of this formula in the dataset: 266 meV/atom
Mass density: 14416 kg/m³

Lattice parameters (Å, degrees): 4.309 4.309 5.355 90.00 90.00 120.00
Element x y z (fractional)
Tc1 0.667 0.333 0.165
Tc2 0.333 0.667 0.835
W1 0.000 0.000 0.000
W2 0.667 0.333 0.644
W3 0.333 0.667 0.356